(1)
## Cu2SnHg2 (PBE)

Data for a geometry-optimized Cu2SnHg2 structure.

Fermi-level density of states (states/eV per atom): 0.506
Energy relative to the elements (eV per atom): 0.173
ρ (g cm⁻³): 10.29
V (Å³/atom): 20.87
Energy above the lowest structure with this stoichiometry (eV/f.u.): 0.00
Energy (eV/atom): -2.386
Total magnetic moment (μB per formula unit): 0.00

Cell lengths 3.4622, 3.4622, 9.0440 Å; angles 78.96, 78.96, 90.00 degrees
With the nearest neighbours (Å) after each atom.
Fractional coordinates of all 5 atoms:
Cu (0.7500, 0.2500, 0.5000)  4 Cu 2.45
Sn (0.0000, 0.0000, 0.0000)  8 Hg 3.28, 4 Sn 3.46
Hg (0.3742, 0.3742, 0.2515)  4 Cu 2.77
Hg (0.6258, 0.6258, 0.7485)  4 Cu 2.77
Cu (0.2500, 0.7500, 0.5000)  4 Cu 2.45

=====

(2)
## Cu3SnHg (PBE)

Data for a geometry-optimized Cu3SnHg structure.

Fermi-level density of states (states/eV per atom): 0.431
Energy relative to the elements (eV per atom): 0.744
ρ (g cm⁻³): 7.44
V (Å³/atom): 22.76
Energy above the lowest structure with this stoichiometry (eV/f.u.): 0.43
Energy (eV/atom): -2.574
Total magnetic moment (μB per formula unit): 0.00

Cell lengths 4.8459, 4.8459, 4.8459 Å; angles 90.00, 90.00, 90.00 degrees
With the nearest neighbours (Å) after each atom.
Fractional coordinates of all 5 atoms:
Sn (0.5000, 0.5000, 0.5000)  12 Cu 3.43
Cu (0.5000, 0.0000, 0.0000)  2 Hg 2.42
Cu (0.0000, 0.0000, 0.5000)  2 Hg 2.42
Cu (0.0000, 0.5000, 0.0000)  2 Hg 2.42
Hg (0.0000, 0.0000, 0.0000)  6 Cu 2.42

=====

(3)
## Cu2SnHg2 (PBE)

Data for a geometry-optimized Cu2SnHg2 structure.

Fermi-level density of states (states/eV per atom): 0.397
Energy relative to the elements (eV per atom): 0.257
ρ (g cm⁻³): 10.39
V (Å³/atom): 20.69
Energy above the lowest structure with this stoichiometry (eV/f.u.): 0.42
Energy (eV/atom): -2.303
Total magnetic moment (μB per formula unit): 0.00

Cell lengths 4.0216, 4.0216, 6.9994 Å; angles 73.30, 73.30, 90.00 degrees
With the nearest neighbours (Å) after each atom.
Fractional coordinates of all 5 atoms:
Hg (0.2500, 0.7500, 0.5000)  4 Cu 2.84, 4 Hg 2.84
Cu (0.5932, 0.5932, 0.8136)  1 Cu 2.38
Hg (0.7500, 0.2500, 0.5000)  4 Cu 2.84, 4 Hg 2.84
Cu (0.4068, 0.4068, 0.1864)  1 Cu 2.38
Sn (0.0000, 0.0000, 0.0000)  8 Cu 3.08

=====

(4)
## Cu2SnHg2 (PBE)

Data for a geometry-optimized Cu2SnHg2 structure.

Fermi-level density of states (states/eV per atom): 0.384
Energy relative to the elements (eV per atom): 0.184
ρ (g cm⁻³): 11.04
V (Å³/atom): 19.46
Energy above the lowest structure with this stoichiometry (eV/f.u.): 0.06
Energy (eV/atom): -2.375
Total magnetic moment (μB per formula unit): 0.00

Cell lengths 7.2982, 7.2982, 3.6529 Å; angles 90.00, 90.00, 90.00 degrees
With the nearest neighbours (Å) after each atom.
Fractional coordinates of all 10 atoms:
Hg (0.6671, 0.8329, 0.5000)  6 Cu 2.80-2.83
Cu (0.1268, 0.3732, 0.0000)  1 Cu 2.62, 6 Hg 2.80-2.83, 2 Sn 2.88
Cu (0.6268, 0.1268, 0.0000)  1 Cu 2.62, 6 Hg 2.80-2.83, 2 Sn 2.88
Hg (0.3329, 0.1671, 0.5000)  6 Cu 2.80-2.83
Sn (0.0000, 0.0000, 0.0000)  4 Cu 2.88
Sn (0.5000, 0.5000, 0.0000)  4 Cu 2.88
Cu (0.8732, 0.6268, 0.0000)  1 Cu 2.62, 6 Hg 2.80-2.83, 2 Sn 2.88
Cu (0.3732, 0.8732, 0.0000)  1 Cu 2.62, 6 Hg 2.80-2.83, 2 Sn 2.88
Hg (0.1671, 0.6671, 0.5000)  6 Cu 2.80-2.83
Hg (0.8329, 0.3329, 0.5000)  6 Cu 2.80-2.83

=====

(5)
## Cu2SnHg (PBE)

Data for a geometry-optimized Cu2SnHg structure.

Fermi-level density of states (states/eV per atom): 0.346
Energy relative to the elements (eV per atom): 0.212
ρ (g cm⁻³): 10.35
V (Å³/atom): 17.91
Energy above the lowest structure with this stoichiometry (eV/f.u.): 0.00
Energy (eV/atom): -2.913
Total magnetic moment (μB per formula unit): 0.00

Cell lengths 4.6615, 4.6615, 4.6615 Å; angles 60.00, 60.00, 60.00 degrees
With the nearest neighbours (Å) after each atom.
Fractional coordinates of all 4 atoms:
Cu (0.2500, 0.2500, 0.2500)  4 Hg 2.85, 4 Sn 2.85
Hg (0.5000, 0.5000, 0.5000)  8 Cu 2.85
Sn (0.0000, 0.0000, 0.0000)  8 Cu 2.85
Cu (0.7500, 0.7500, 0.7500)  4 Hg 2.85, 4 Sn 2.85

=====

(6)
## Cu2Sn2Hg (PBE)

Data for a geometry-optimized Cu2Sn2Hg structure.

Fermi-level density of states (states/eV per atom): 0.446
Energy relative to the elements (eV per atom): 0.113
ρ (g cm⁻³): 9.32
V (Å³/atom): 20.15
Energy above the lowest structure with this stoichiometry (eV/f.u.): 0.00
Energy (eV/atom): -3.187
Total magnetic moment (μB per formula unit): 0.00

Cell lengths 7.0676, 7.0676, 4.0333 Å; angles 90.00, 90.00, 90.00 degrees
With the nearest neighbours (Å) after each atom.
Fractional coordinates of all 10 atoms:
Hg (0.0000, 0.0000, 0.0000)  4 Cu 2.79
Hg (0.5000, 0.5000, 0.0000)  4 Cu 2.79
Sn (0.8331, 0.3331, 0.5000)  6 Cu 2.89-2.90
Sn (0.3331, 0.1669, 0.5000)  6 Cu 2.89-2.90
Cu (0.6259, 0.1259, 0.0000)  1 Cu 2.52, 2 Hg 2.79
Sn (0.1669, 0.6669, 0.5000)  6 Cu 2.89-2.90
Cu (0.8741, 0.6259, 0.0000)  1 Cu 2.52, 2 Hg 2.79
Cu (0.1259, 0.3741, 0.0000)  1 Cu 2.52, 2 Hg 2.79
Sn (0.6669, 0.8331, 0.5000)  6 Cu 2.89-2.90
Cu (0.3741, 0.8741, 0.0000)  1 Cu 2.52, 2 Hg 2.79

=====

(7)
## Cu2SnHg2 (PBE)

Data for a geometry-optimized Cu2SnHg2 structure.

Fermi-level density of states (states/eV per atom): 0.288
Energy relative to the elements (eV per atom): 0.223
ρ (g cm⁻³): 10.95
V (Å³/atom): 19.63
Energy above the lowest structure with this stoichiometry (eV/f.u.): 0.25
Energy (eV/atom): -2.336
Total magnetic moment (μB per formula unit): 0.00

Cell lengths 7.9660, 7.9660, 3.0933 Å; angles 90.00, 90.00, 90.00 degrees
With the nearest neighbours (Å) after each atom.
Fractional coordinates of all 10 atoms:
Sn (0.5000, 0.5000, 0.0000)  2 Sn 3.09, 4 Hg 3.09, 8 Cu 3.36
Hg (0.8637, 0.6363, 0.0000)  6 Cu 2.75-2.84, 1 Hg 3.07
Hg (0.3637, 0.8637, 0.0000)  6 Cu 2.75-2.84, 1 Hg 3.07
Cu (0.6623, 0.8377, 0.5000)  6 Hg 2.75-2.84
Cu (0.3377, 0.1623, 0.5000)  6 Hg 2.75-2.84
Hg (0.6363, 0.1363, 0.0000)  6 Cu 2.75-2.84, 1 Hg 3.07
Cu (0.8377, 0.3377, 0.5000)  6 Hg 2.75-2.84
Cu (0.1623, 0.6623, 0.5000)  6 Hg 2.75-2.84
Hg (0.1363, 0.3637, 0.0000)  6 Cu 2.75-2.84, 1 Hg 3.07
Sn (0.0000, 0.0000, 0.0000)  2 Sn 3.09, 4 Hg 3.09, 8 Cu 3.36

=====

(8)
## Cu3SnHg (PBE)

Data for a geometry-optimized Cu3SnHg structure.

Fermi-level density of states (states/eV per atom): 0.546
Energy relative to the elements (eV per atom): 0.659
ρ (g cm⁻³): 7.14
V (Å³/atom): 23.73
Energy above the lowest structure with this stoichiometry (eV/f.u.): 0.00
Energy (eV/atom): -2.660
Total magnetic moment (μB per formula unit): 0.00

Cell lengths 4.9139, 4.9139, 4.9139 Å; angles 90.00, 90.00, 90.00 degrees
With the nearest neighbours (Å) after each atom.
Fractional coordinates of all 5 atoms:
Hg (0.5000, 0.5000, 0.5000)  12 Cu 3.47
Sn (0.0000, 0.0000, 0.0000)  6 Cu 2.46
Cu (0.5000, 0.0000, 0.0000)  2 Sn 2.46
Cu (0.0000, 0.0000, 0.5000)  2 Sn 2.46
Cu (0.0000, 0.5000, 0.0000)  2 Sn 2.46

=====

(9)
## CuSnHg3 (PBE)

Data for a geometry-optimized CuSnHg3 structure.

Fermi-level density of states (states/eV per atom): 0.504
Energy relative to the elements (eV per atom): 0.263
ρ (g cm⁻³): 10.01
V (Å³/atom): 26.01
Energy above the lowest structure with this stoichiometry (eV/f.u.): 0.00
Energy (eV/atom): -1.538
Total magnetic moment (μB per formula unit): 0.00

Cell lengths 5.0664, 5.0664, 5.0664 Å; angles 90.00, 90.00, 90.00 degrees
With the nearest neighbours (Å) after each atom.
Fractional coordinates of all 5 atoms:
Hg (0.5000, 0.0000, 0.0000)  2 Cu 2.53
Sn (0.5000, 0.5000, 0.5000)  12 Hg 3.58
Hg (0.0000, 0.0000, 0.5000)  2 Cu 2.53
Cu (0.0000, 0.0000, 0.0000)  6 Hg 2.53
Hg (0.0000, 0.5000, 0.0000)  2 Cu 2.53

=====

(10)
## Cu2Sn2Hg (PBE)

Data for a geometry-optimized Cu2Sn2Hg structure.

Fermi-level density of states (states/eV per atom): 0.535
Energy relative to the elements (eV per atom): 0.259
ρ (g cm⁻³): 8.38
V (Å³/atom): 22.40
Energy above the lowest structure with this stoichiometry (eV/f.u.): 0.73
Energy (eV/atom): -3.041
Total magnetic moment (μB per formula unit): 0.00

Cell lengths 4.5717, 4.5717, 6.2583 Å; angles 68.58, 68.58, 90.00 degrees
With the nearest neighbours (Å) after each atom.
Fractional coordinates of all 5 atoms:
Sn (0.2500, 0.7500, 0.5000)  4 Cu 2.71
Sn (0.7500, 0.2500, 0.5000)  4 Cu 2.71
Cu (0.3861, 0.3861, 0.2278)  1 Cu 2.44, 4 Sn 2.71
Cu (0.6139, 0.6139, 0.7722)  1 Cu 2.44, 4 Sn 2.71
Hg (0.0000, 0.0000, 0.0000)  8 Cu 3.46, 8 Sn 3.52

=====

(11)
## Cu2Sn2Hg (PBE)

Data for a geometry-optimized Cu2Sn2Hg structure.

Fermi-level density of states (states/eV per atom): 0.425
Energy relative to the elements (eV per atom): 0.139
ρ (g cm⁻³): 8.77
V (Å³/atom): 21.39
Energy above the lowest structure with this stoichiometry (eV/f.u.): 0.13
Energy (eV/atom): -3.161
Total magnetic moment (μB per formula unit): 0.00

Cell lengths 3.4999, 3.4999, 9.0757 Å; angles 78.88, 78.88, 90.00 degrees
With the nearest neighbours (Å) after each atom.
Fractional coordinates of all 5 atoms:
Sn (0.3744, 0.3744, 0.2511)  4 Cu 2.79
Cu (0.2500, 0.7500, 0.5000)  4 Cu 2.47
Cu (0.7500, 0.2500, 0.5000)  4 Cu 2.47
Hg (0.0000, 0.0000, 0.0000)  8 Sn 3.31, 4 Hg 3.50
Sn (0.6256, 0.6256, 0.7489)  4 Cu 2.79

=====

(12)
## CuSnHg3 (PBE)

Data for a geometry-optimized CuSnHg3 structure.

Fermi-level density of states (states/eV per atom): 0.457
Energy relative to the elements (eV per atom): 0.617
ρ (g cm⁻³): 7.29
V (Å³/atom): 35.72
Energy above the lowest structure with this stoichiometry (eV/f.u.): 1.77
Energy (eV/atom): -1.184
Total magnetic moment (μB per formula unit): 0.00

Cell lengths 5.6314, 5.6314, 5.6314 Å; angles 90.00, 90.00, 90.00 degrees
With the nearest neighbours (Å) after each atom.
Fractional coordinates of all 5 atoms:
Hg (0.5000, 0.0000, 0.0000)  2 Sn 2.82
Hg (0.0000, 0.5000, 0.0000)  2 Sn 2.82
Cu (0.5000, 0.5000, 0.5000)  12 Hg 3.98
Hg (0.0000, 0.0000, 0.5000)  2 Sn 2.82
Sn (0.0000, 0.0000, 0.0000)  6 Hg 2.82